A plane-wave DFT calculation with PBEsol was carried out for crystalline Li3VH16O12 at its relaxed geometry.

Values from the calculation:
Total energy   -352.03 eV per cell
Fermi-level density of states   0.00 states/eV/f.u.

Cell: 7.2277 6.3988 12.8242 Å, 90.00 112.30 90.00°
Fractional coordinates of all 64 atoms:
Li 0.0000 0.0468 0.0000
Li 0.0000 0.9532 0.5000
Li 0.3436 0.1516 0.2458
Li 0.3436 0.8484 0.7458
Li 0.4778 0.3533 0.4421
Li 0.4778 0.6467 0.9421
V 0.8135 0.4547 0.6805
V 0.8135 0.5453 0.1805
H 0.0563 0.0941 0.6902
H 0.0563 0.9059 0.1902
H 0.1180 0.2340 0.8652
H 0.1180 0.7660 0.3652
H 0.1802 0.3585 0.5028
H 0.1802 0.6415 0.0028
H 0.2431 0.4563 0.7645
H 0.2431 0.5437 0.2645
H 0.2500 0.3125 0.9880
H 0.2500 0.6875 0.4880
H 0.3534 0.0274 0.9297
H 0.3534 0.9726 0.4297
H 0.4066 0.3986 0.5994
H 0.4066 0.6014 0.0994
H 0.4650 0.4663 0.7605
H 0.4650 0.5337 0.2605
H 0.5663 0.0353 0.9185
H 0.5663 0.9647 0.4185
H 0.5671 0.0858 0.6886
H 0.5671 0.9142 0.1886
H 0.6520 0.1479 0.1971
H 0.6520 0.8521 0.6971
H 0.7100 0.2486 0.8495
H 0.7100 0.7514 0.3495
H 0.7427 0.3271 0.9739
H 0.7427 0.6729 0.4739
H 0.8773 0.3291 0.4830
H 0.8773 0.6709 0.9830
H 0.9181 0.2694 0.3688
H 0.9181 0.7306 0.8688
H 0.9828 0.1443 0.1886
H 0.9828 0.8557 0.6886
O 0.0335 0.3188 0.7383
O 0.0335 0.6812 0.2383
O 0.0721 0.0516 0.1632
O 0.0721 0.9484 0.6632
O 0.1863 0.1819 0.9455
O 0.1863 0.8181 0.4455
O 0.3114 0.4379 0.5223
O 0.3114 0.5621 0.0223
O 0.3680 0.4554 0.2854
O 0.3680 0.5446 0.7854
O 0.4476 0.0594 0.4056
O 0.4476 0.9406 0.9056
O 0.5272 0.0644 0.1823
O 0.5272 0.9356 0.6823
O 0.6261 0.3438 0.7160
O 0.6261 0.6562 0.2160
O 0.7412 0.4569 0.5366
O 0.7412 0.5431 0.0366
O 0.7472 0.1975 0.9290
O 0.7472 0.8025 0.4290
O 0.8533 0.2958 0.2322
O 0.8533 0.7042 0.7322
O 0.9674 0.2472 0.4533
O 0.9674 0.7528 0.9533

***

A plane-wave DFT calculation with PBEsol was carried out for crystalline BeTc2Os at its relaxed geometry.

Values from the calculation:
Total energy   -37.70 eV per cell
Fermi-level density of states   3.41 states/eV/f.u.

Cell: 2.6298 2.6298 8.2933 Å, 90.00 90.00 115.25°
Fractional coordinates of all 4 atoms:
Be 0.0000 0.0000 0.0000
Tc 0.0000 0.0000 0.5021
Tc 0.5000 0.5000 0.7656
Os 0.5000 0.5000 0.2279

***

A plane-wave DFT calculation with PBEsol was carried out for crystalline KTl3Sb at its relaxed geometry.

Values from the calculation:
Uncorrected formation energy   0.208 eV/atom
Total energy   -12.54 eV per cell
Fermi-level density of states   2.94 states/eV/f.u.

Cell: 5.9065 5.9065 5.9065 Å, 90.00 90.00 90.00°
Fractional coordinates of all 5 atoms:
K 0.0000 0.0000 0.0000
Tl 0.0000 0.5000 0.5000
Tl 0.5000 0.0000 0.5000
Tl 0.5000 0.5000 0.0000
Sb 0.5000 0.5000 0.5000

***

A plane-wave DFT calculation with PBEsol was carried out for crystalline KMg3AlSi3O10F2 at its relaxed geometry.

Values from the calculation:
Uncorrected formation energy   -2.956 eV/atom
Total energy   -143.08 eV per cell
Fermi-level density of states   0.00 states/eV/f.u.

Cell: 5.3132 5.3147 10.2920 Å, 80.08 85.23 60.04°
Fractional coordinates of all 20 atoms:
K 0.0000 0.0000 0.0000
Mg 0.3341 0.8193 0.5327
Mg 0.6586 0.1593 0.5333
Mg 0.9987 0.4956 0.5327
Al 0.3321 0.4008 0.7998
Si 0.3331 0.2456 0.2581
Si 0.6652 0.7327 0.8040
Si 0.6671 0.5808 0.2580
O 0.9997 0.4412 0.1987
O 0.3315 0.4593 0.6268
O 0.3320 0.1902 0.4177
O 0.4352 0.6236 0.8598
O 0.4915 0.9335 0.1981
O 0.5073 0.4250 0.2006
O 0.5756 0.0349 0.8594
O 0.6637 0.7885 0.6391
O 0.6682 0.5308 0.4176
O 0.9866 0.4835 0.8593
F 0.9887 0.8661 0.4283
F 0.9982 0.1292 0.6209

***

A plane-wave DFT calculation with PBEsol was carried out for crystalline LiCa3Ta at its relaxed geometry.

Values from the calculation:
Total energy   -15.17 eV per cell
Fermi-level density of states   5.48 states/eV/f.u.

Cell: 5.3471 5.3471 5.3471 Å, 90.00 90.00 90.00°
Fractional coordinates of all 5 atoms:
Li 0.0000 0.0000 0.0000
Ca 0.0000 0.0000 0.5000
Ca 0.0000 0.5000 0.0000
Ca 0.5000 0.0000 0.0000
Ta 0.5000 0.5000 0.5000

***

A plane-wave DFT calculation with PBEsol was carried out for crystalline RbSiS2Cl at its relaxed geometry.

Values from the calculation:
Uncorrected formation energy   1.120 eV/atom
Total energy   -11.95 eV per cell
Fermi-level density of states   1.10 states/eV/f.u.

Cell: 5.2410 5.2410 5.5532 Å, 90.00 90.00 90.00°
Fractional coordinates of all 5 atoms:
Rb 0.0000 0.0000 0.0000
Si 0.5000 0.5000 0.5000
S 0.0000 0.5000 0.0000
S 0.5000 0.0000 0.0000
Cl 0.0000 0.0000 0.5000

***

A plane-wave DFT calculation with PBEsol was carried out for crystalline ScZn4Ir at its relaxed geometry.

Values from the calculation:
Total energy   -25.59 eV per cell

Cell: 4.9151 4.9151 4.9151 Å, 60.00 60.00 60.00°
Fractional coordinates of all 6 atoms:
Sc 0.0000 0.0000 0.0000
Zn 0.1265 0.6245 0.6245
Zn 0.6245 0.1265 0.6245
Zn 0.6245 0.6245 0.1265
Zn 0.6245 0.6245 0.6245
Ir 0.2500 0.2500 0.2500

***

A plane-wave DFT calculation with PBEsol was carried out for crystalline K3IrPd at its relaxed geometry.

Values from the calculation:
Total energy   -13.19 eV per cell
Fermi-level density of states   6.42 states/eV/f.u.

Cell: 5.7846 5.7846 5.7846 Å, 90.00 90.00 90.00°
Fractional coordinates of all 5 atoms:
K 0.0000 0.0000 0.5000
K 0.0000 0.5000 0.0000
K 0.5000 0.0000 0.0000
Ir 0.5000 0.5000 0.5000
Pd 0.0000 0.0000 0.0000

***

A plane-wave DFT calculation with PBEsol was carried out for crystalline LaRu at its relaxed geometry.

Values from the calculation:
Total energy   -30.72 eV per cell
Fermi-level density of states   1.63 states/eV/f.u.

Cell: 5.3562 5.3562 5.4415 Å, 103.28 103.28 34.36°
Fractional coordinates of all 4 atoms:
La 0.1044 0.1044 0.2908
La 0.8956 0.8956 0.7092
Ru 0.3274 0.3274 0.1783
Ru 0.6726 0.6726 0.8217

***

A plane-wave DFT calculation with PBEsol was carried out for crystalline AlSb2HI at its relaxed geometry.

Values from the calculation:
Total energy   -16.08 eV per cell
Fermi-level density of states   3.33 states/eV/f.u.

Cell: 4.3704 4.3704 6.0590 Å, 90.00 90.00 90.00°
Fractional coordinates of all 5 atoms:
Al 0.0000 0.0000 0.0000
Sb 0.0000 0.5000 0.5000
Sb 0.5000 0.0000 0.5000
H 0.5000 0.5000 0.5000
I 0.5000 0.5000 0.0000

***

A plane-wave DFT calculation with PBEsol was carried out for crystalline CaCd3Ni at its relaxed geometry.

Values from the calculation:
Total energy   -12.20 eV per cell
Fermi-level density of states   2.90 states/eV/f.u.

Cell: 4.8854 4.8854 4.8854 Å, 90.00 90.00 90.00°
Fractional coordinates of all 5 atoms:
Ca 0.0000 0.0000 0.0000
Cd 0.0000 0.5000 0.5000
Cd 0.5000 0.0000 0.5000
Cd 0.5000 0.5000 0.0000
Ni 0.5000 0.5000 0.5000

***

A plane-wave DFT calculation with PBEsol was carried out for crystalline MnH12C2N2Cl4 at its relaxed geometry.

Values from the calculation:
Total energy   -419.67 eV per cell

Cell: 7.1278 7.1278 19.4111 Å, 90.00 90.00 90.00°
Fractional coordinates of all 84 atoms:
Mn 0.0000 0.0000 0.0000
Mn 0.0000 0.5000 0.5000
Mn 0.5000 0.0000 0.5000
Mn 0.5000 0.5000 0.0000
H 0.0017 0.6643 0.1087
H 0.0017 0.8357 0.6087
H 0.0169 0.1955 0.6875
H 0.0169 0.3045 0.1875
H 0.0323 0.0323 0.2766
H 0.0323 0.4677 0.7766
H 0.0521 0.0521 0.5760
H 0.0521 0.4479 0.0760
H 0.1643 0.5017 0.8913
H 0.1643 0.9983 0.3913
H 0.1955 0.0169 0.6875
H 0.1955 0.4831 0.1875
H 0.3045 0.0169 0.1875
H 0.3045 0.4831 0.6875
H 0.3357 0.5017 0.3913
H 0.3357 0.9983 0.8913
H 0.4479 0.0521 0.0760
H 0.4479 0.4479 0.5760
H 0.4677 0.0323 0.7766
H 0.4677 0.4677 0.2766
H 0.4831 0.1955 0.1875
H 0.4831 0.3045 0.6875
H 0.4983 0.6643 0.6087
H 0.4983 0.8357 0.1087
H 0.5017 0.1643 0.8913
H 0.5017 0.3357 0.3913
H 0.5169 0.6955 0.3125
H 0.5169 0.8045 0.8125
H 0.5323 0.5323 0.7234
H 0.5323 0.9677 0.2234
H 0.5521 0.5521 0.4240
H 0.5521 0.9479 0.9240
H 0.6643 0.0017 0.1087
H 0.6643 0.4983 0.6087
H 0.6955 0.5169 0.3125
H 0.6955 0.9831 0.8125
H 0.8045 0.5169 0.8125
H 0.8045 0.9831 0.3125
H 0.8357 0.0017 0.6087
H 0.8357 0.4983 0.1087
H 0.9479 0.5521 0.9240
H 0.9479 0.9479 0.4240
H 0.9677 0.5323 0.2234
H 0.9677 0.9677 0.7234
H 0.9831 0.6955 0.8125
H 0.9831 0.8045 0.3125
H 0.9983 0.1643 0.3913
H 0.9983 0.3357 0.8913
C 0.0441 0.0441 0.6831
C 0.0441 0.4559 0.1831
C 0.4559 0.0441 0.1831
C 0.4559 0.4559 0.6831
C 0.5441 0.5441 0.3169
C 0.5441 0.9559 0.8169
C 0.9559 0.5441 0.8169
C 0.9559 0.9559 0.3169
N 0.0196 0.0196 0.3853
N 0.0196 0.4804 0.8853
N 0.4804 0.0196 0.8853
N 0.4804 0.4804 0.3853
N 0.5196 0.5196 0.6147
N 0.5196 0.9804 0.1147
N 0.9804 0.5196 0.1147
N 0.9804 0.9804 0.6147
Cl 0.0356 0.0356 0.8745
Cl 0.0356 0.4644 0.3745
Cl 0.2500 0.2500 0.0217
Cl 0.2500 0.2500 0.5217
Cl 0.2500 0.7500 0.0000
Cl 0.2500 0.7500 0.5000
Cl 0.4644 0.0356 0.3745
Cl 0.4644 0.4644 0.8745
Cl 0.5356 0.5356 0.1255
Cl 0.5356 0.9644 0.6255
Cl 0.7500 0.2500 0.0000
Cl 0.7500 0.2500 0.5000
Cl 0.7500 0.7500 0.4783
Cl 0.7500 0.7500 0.9783
Cl 0.9644 0.5356 0.6255
Cl 0.9644 0.9644 0.1255

***

Question: Which of these has the highest total energy?
Answer: RbSiS2Cl

***

What did the seventh record say?
A plane-wave DFT calculation with PBEsol was carried out for crystalline ScZn4Ir at its relaxed geometry.

Values from the calculation:
Total energy   -25.59 eV per cell

Cell: 4.9151 4.9151 4.9151 Å, 60.00 60.00 60.00°
Fractional coordinates of all 6 atoms:
Sc 0.0000 0.0000 0.0000
Zn 0.1265 0.6245 0.6245
Zn 0.6245 0.1265 0.6245
Zn 0.6245 0.6245 0.1265
Zn 0.6245 0.6245 0.6245
Ir 0.2500 0.2500 0.2500

***

Question: Which of these has the lowest total energy?
Answer: MnH12C2N2Cl4

***

Repeat the fifth record exactly.
A plane-wave DFT calculation with PBEsol was carried out for crystalline LiCa3Ta at its relaxed geometry.

Values from the calculation:
Total energy   -15.17 eV per cell
Fermi-level density of states   5.48 states/eV/f.u.

Cell: 5.3471 5.3471 5.3471 Å, 90.00 90.00 90.00°
Fractional coordinates of all 5 atoms:
Li 0.0000 0.0000 0.0000
Ca 0.0000 0.0000 0.5000
Ca 0.0000 0.5000 0.0000
Ca 0.5000 0.0000 0.0000
Ta 0.5000 0.5000 0.5000